DFT (meta-GGA SCAN) results for a PBEsol-optimized structure of Sc3CoRe.

- Distance to the lowest polymorph of the same formula: 0.0 meV per atom
- Calculated volume: 96 Å³ per cell
- Size of the total moment: 0.84 μB per formula unit

a b c (Å): 4.5816 4.5816 4.5816
angles (deg): 90.00 90.00 90.00
With the nearest neighbours (Å) after each atom.
Atoms (fractional coordinates):
Re: 0.5000 0.5000 0.5000  12 Sc 3.24
Co: 0.0000 0.0000 0.0000  6 Sc 2.29
Sc: 0.0000 0.5000 0.0000  2 Co 2.29
Sc: 0.0000 0.0000 0.5000  2 Co 2.29
Sc: 0.5000 0.0000 0.0000  2 Co 2.29